## TaTe2IN (GGA-PBEsol)

Data for a relaxed TaTe2IN crystal.

extended XYZ file:
```
5
Lattice="-0.590 5.020 -1.652 -2.026 1.320 4.736 5.168 1.223 1.870" Properties=species:S:1:pos:R:3 pbc="T T T"
I 2.584 0.612 0.935
N 1.275 3.781 2.477
Te -1.013 0.660 2.368
Te -0.295 2.510 -0.826
Ta 0.000 0.000 0.000
```

magnetic moment = 0.59 μB/atom
DFT total energy = -4.85 eV/atom
ΔE to the lowest computed polymorph = 0.0 kJ per mole of atoms
symmetry = P4/mmm, No. 123